Below is a geometry-optimized ZrGeAs2Se structure, with properties calculated at the GGA-PBEsol level.

Lattice parameters (Å, degrees): 4.7374 4.7374 4.9101 90.00 90.00 90.00
Closest atoms and distances in Å follow each position.
Fractional coordinates of all 5 atoms:
As (0.0000, 0.5000, 0.0000)  2 Ge 2.37
As (0.5000, 0.0000, 0.0000)  2 Ge 2.37
Ge (0.0000, 0.0000, 0.0000)  4 As 2.37, 2 Se 2.46
Se (0.0000, 0.0000, 0.5000)  2 Ge 2.46
Zr (0.5000, 0.5000, 0.5000)  4 Se 3.35, 8 As 3.41

Output
Total DFT energy (no corrections) in eV for the cell shown: -26.014
Formation energy (no corrections) in meV per atom: 416
D(E_F) in states/eV per atom: 0.5742
Calculated density in g/cm³: 5.92
Size of the total moment in μB per formula unit: 0.000